The following is a GGA-PBE calculation of crystalline CeSm2Ir at its relaxed geometry, from the Alexandria database.

a b c (Å): 7.180 9.739 6.527
angles (deg): 90.00 90.00 90.00
Fractional positions:
1 Ce 0.041 0.250 0.152
2 Ce 0.459 0.750 0.652
3 Ce 0.541 0.250 0.348
4 Ce 0.959 0.750 0.848
5 Sm 0.178 0.065 0.669
6 Sm 0.178 0.435 0.669
7 Sm 0.322 0.565 0.169
8 Sm 0.322 0.935 0.169
9 Sm 0.678 0.065 0.831
10 Sm 0.678 0.435 0.831
11 Sm 0.822 0.565 0.331
12 Sm 0.822 0.935 0.331
13 Ir 0.127 0.750 0.463
14 Ir 0.373 0.250 0.963
15 Ir 0.627 0.750 0.037
16 Ir 0.873 0.250 0.537

Output
magnetic moment = 3.3 Bohr magnetons per cell
relative energy among the computed polymorphs = 0 meV per atom
N(E_F) = 32.21 states/eV per cell
VASP energy = -6.518 eV/atom